The following is a DFT calculation (SCAN) of Mg2ZrHg at its PBEsol-relaxed geometry.

Results
Theoretical density   6.8 g/cm³
Total DFT energy (no corrections)   -27.3060 eV per atom

a = 3.0832 Å, b = 4.3255 Å, c = 6.2702 Å
α = 90.00°, β = 90.00°, γ = 90.00°
Sites, in units of the cell vectors:
Zr: 0.5000 0.5000 0.0000
Hg: 0.5000 0.5000 0.5000
Mg: 0.0000 0.0000 0.7432
Mg: 0.0000 0.0000 0.2568

***

The following is a DFT calculation (SCAN) of LaScCu2 at its PBEsol-relaxed geometry.

Results
Excess energy over the best structure of this formula in the dataset   0.00 eV/f.u.
Theoretical density   6.7 g/cm³

a = 3.3180 Å, b = 3.3180 Å, c = 7.0233 Å
α = 90.00°, β = 90.00°, γ = 90.00°
Sites, in units of the cell vectors:
Sc: 0.5000 0.5000 0.5000
La: 0.5000 0.5000 0.0000
Cu: 0.0000 0.0000 0.6988
Cu: 0.0000 0.0000 0.3012

***

The following is a DFT calculation (SCAN) of LaCu2Pt at its PBEsol-relaxed geometry.

Results
Excess energy over the best structure of this formula in the dataset   1.36 eV/f.u.
Theoretical density   10.5 g/cm³

a = 4.6914 Å, b = 4.6914 Å, c = 4.6914 Å
α = 60.00°, β = 60.00°, γ = 60.00°
Sites, in units of the cell vectors:
La: 0.5000 0.5000 0.5000
Pt: 0.2500 0.2500 0.2500
Cu: 0.0000 0.0000 0.0000
Cu: 0.7500 0.7500 0.7500

***

The following is a DFT calculation (SCAN) of Li2CdGa2 at its PBEsol-relaxed geometry.

Results
Theoretical density   5.3 g/cm³
Total DFT energy (no corrections)   -13.8265 eV per atom

a = 3.1868 Å, b = 7.2203 Å, c = 7.2203 Å
α = 90.00°, β = 90.00°, γ = 90.00°
Sites, in units of the cell vectors:
Ga: 0.0000 0.3737 0.8737
Ga: 0.0000 0.8737 0.6263
Cd: 0.0000 0.0000 0.0000
Li: 0.5000 0.3281 0.1719
Li: 0.5000 0.8281 0.3281
Ga: 0.0000 0.6263 0.1263
Ga: 0.0000 0.1263 0.3737
Cd: 0.0000 0.5000 0.5000
Li: 0.5000 0.1719 0.6719
Li: 0.5000 0.6719 0.8281

***

The following is a DFT calculation (SCAN) of Co2AgMo at its PBEsol-relaxed geometry.

Results
Excess energy over the best structure of this formula in the dataset   0.00 eV/f.u.
Theoretical density   10.4 g/cm³

a = 2.7014 Å, b = 3.3772 Å, c = 5.6473 Å
α = 90.00°, β = 90.01°, γ = 90.00°
Site moments in Bohr magnetons follow the coordinates.
Sites, in units of the cell vectors:
Co: 0.0000 0.0000 0.7720  1.37
Ag: 0.5000 0.5000 0.5000  -0.01
Co: 0.0000 0.0000 0.2280  1.37
Mo: 0.5000 0.5000 0.0000  0.00

***

The following is a DFT calculation (SCAN) of Pd2SeS at its PBEsol-relaxed geometry.

Results
Theoretical density   7.2 g/cm³
Energy relative to the elements, uncorrected   -125 meV/atom

a = 4.6630 Å, b = 4.6630 Å, c = 7.6589 Å
α = 107.72°, β = 107.72°, γ = 90.00°
Sites, in units of the cell vectors:
Pd: 0.8105 0.3750 0.2500
Pd: 0.1250 0.1895 0.7500
Se: 0.0000 0.0000 0.0000
S: 0.5000 0.5000 0.0000
S: 0.7500 0.2500 0.5000
Pd: 0.4395 0.8750 0.2500
Pd: 0.6250 0.5605 0.7500
Se: 0.2500 0.7500 0.5000